First-principles (PBE) data for a relaxed structure of Er7NiPb4, as listed in the Alexandria database.

abc: 8.353 8.353 11.325
angles: 126.80 126.80 36.17
Sites, in units of the cell vectors:
Er: 0.000 0.000 0.000
Er: 0.141 0.141 0.558
Er: 0.279 0.279 0.136
Er: 0.431 0.431 0.724
Er: 0.569 0.569 0.276
Er: 0.721 0.721 0.864
Er: 0.859 0.859 0.442
Ni: 0.500 0.500 0.000
Pb: 0.082 0.082 0.779
Pb: 0.221 0.221 0.348
Pb: 0.779 0.779 0.652
Pb: 0.918 0.918 0.221

Properties
calculated density = 9.4 Mg/m³
size of the total moment = 0.00 Bohr magnetons per cell
ΔH_f (0 K) = -185 meV/atom
space-group type = C2/m